(1)
Computed, not measured: a relaxed Hf3ZrNi crystal at the PBE-GGA level of DFT. Values from VASP.

Geometry as Quantum ESPRESSO input:
```
&SYSTEM
  ibrav = 0, nat = 5, ntyp = 3
/
ATOMIC_SPECIES
Hf 178.49 Hf.upf
Zr 91.22 Zr.upf
Ni 58.69 Ni.upf
CELL_PARAMETERS angstrom
5.0397 0.0000 0.0000
0.0000 5.0397 0.0000
0.0000 0.0000 5.0397
ATOMIC_POSITIONS crystal
Hf 0.0000 0.0000 0.5000
Hf 0.0000 0.5000 0.0000
Hf 0.5000 0.0000 0.0000
Zr 0.0000 0.0000 0.0000
Ni 0.5000 0.5000 0.5000
```

total energy	-7.29	eV per atom

=====

(2)
Computed, not measured: a relaxed Ba2NiPtSe crystal at the PBE-GGA level of DFT. Values from VASP.

Geometry as Quantum ESPRESSO input:
```
&SYSTEM
  ibrav = 0, nat = 5, ntyp = 4
/
ATOMIC_SPECIES
Ba 137.33 Ba.upf
Ni 58.69 Ni.upf
Pt 195.08 Pt.upf
Se 78.96 Se.upf
CELL_PARAMETERS angstrom
6.0564 0.0000 0.0000
0.0000 6.0564 0.0000
0.0000 0.0000 4.6056
ATOMIC_POSITIONS crystal
Ba 0.0000 0.5000 0.0000
Ba 0.5000 0.0000 0.0000
Ni 0.0000 0.0000 0.5000
Pt 0.0000 0.0000 0.0000
Se 0.5000 0.5000 0.5000
```

uncorrected formation energy	-0.61	eV per atom

=====

(3)
Computed, not measured: a relaxed PaIn2Sn crystal at the PBE-GGA level of DFT. Values from VASP.

Geometry as Quantum ESPRESSO input:
```
&SYSTEM
  ibrav = 0, nat = 8, ntyp = 3
/
ATOMIC_SPECIES
Pa 231.04 Pa.upf
In 114.82 In.upf
Sn 118.71 Sn.upf
CELL_PARAMETERS angstrom
4.4402 0.0000 0.0000
0.0000 4.4402 0.0000
0.0000 0.0000 10.3210
ATOMIC_POSITIONS crystal
Pa 0.0000 0.0000 0.0000
Pa 0.5000 0.5000 0.5000
In 0.0000 0.5000 0.2500
In 0.0000 0.5000 0.7500
In 0.5000 0.0000 0.2500
In 0.5000 0.0000 0.7500
Sn 0.0000 0.0000 0.5000
Sn 0.5000 0.5000 0.0000
```

total energy	-4.85	eV per atom

=====

(4)
Computed, not measured: a relaxed V4NiGe2 crystal at the PBE-GGA level of DFT. Values from VASP.

Geometry as Quantum ESPRESSO input:
```
&SYSTEM
  ibrav = 0, nat = 14, ntyp = 3
/
ATOMIC_SPECIES
V 50.94 V.upf
Ni 58.69 Ni.upf
Ge 72.64 Ge.upf
CELL_PARAMETERS angstrom
4.2167 0.0000 0.0000
0.0000 4.2167 0.0000
0.0000 0.0000 13.2862
ATOMIC_POSITIONS crystal
V 0.0000 0.0000 0.1749
V 0.0000 0.0000 0.8251
V 0.0000 0.5000 0.0000
V 0.0000 0.5000 0.5000
V 0.5000 0.0000 0.0000
V 0.5000 0.0000 0.5000
V 0.5000 0.5000 0.3251
V 0.5000 0.5000 0.6749
Ni 0.0000 0.0000 0.0000
Ni 0.5000 0.5000 0.5000
Ge 0.0000 0.0000 0.3660
Ge 0.0000 0.0000 0.6340
Ge 0.5000 0.5000 0.1340
Ge 0.5000 0.5000 0.8660
```

total energy	-6.86	eV per atom

=====

(5)
Computed, not measured: a relaxed AcOsRu2O8 crystal at the PBE-GGA level of DFT. Values from VASP.

Geometry as Quantum ESPRESSO input:
```
&SYSTEM
  ibrav = 0, nat = 12, ntyp = 4
/
ATOMIC_SPECIES
Ac 227.00 Ac.upf
Os 190.23 Os.upf
Ru 101.07 Ru.upf
O 16.00 O.upf
CELL_PARAMETERS angstrom
4.8066 0.0000 0.0000
0.0000 6.6205 0.0000
-0.1834 0.0000 4.8070
ATOMIC_POSITIONS crystal
Ac 0.0000 0.0000 0.0000
Os 0.0000 0.5000 0.0000
Ru 0.5000 0.2610 0.5000
Ru 0.5000 0.7390 0.5000
O 0.2108 0.2972 0.2087
O 0.2108 0.7028 0.2087
O 0.2917 0.5000 0.7063
O 0.3352 0.0000 0.6601
O 0.6648 0.0000 0.3399
O 0.7083 0.5000 0.2937
O 0.7892 0.2972 0.7913
O 0.7892 0.7028 0.7913
```

uncorrected formation energy	-1.35	eV per atom

=====

(6)
Computed, not measured: a relaxed ScNb3Hg crystal at the PBE-GGA level of DFT. Values from VASP.

Geometry as Quantum ESPRESSO input:
```
&SYSTEM
  ibrav = 0, nat = 5, ntyp = 3
/
ATOMIC_SPECIES
Sc 44.96 Sc.upf
Nb 92.91 Nb.upf
Hg 200.59 Hg.upf
CELL_PARAMETERS angstrom
4.7677 0.0000 0.0000
0.0000 4.7677 0.0000
0.0000 0.0000 4.7677
ATOMIC_POSITIONS crystal
Sc 0.0000 0.0000 0.0000
Nb 0.0000 0.0000 0.5000
Nb 0.0000 0.5000 0.0000
Nb 0.5000 0.0000 0.0000
Hg 0.5000 0.5000 0.5000
```

total energy	-5.86	eV per atom

=====

(7)
Computed, not measured: a relaxed Ce2Zr3Si4 crystal at the PBE-GGA level of DFT. Values from VASP.

Geometry as Quantum ESPRESSO input:
```
&SYSTEM
  ibrav = 0, nat = 18, ntyp = 3
/
ATOMIC_SPECIES
Ce 140.12 Ce.upf
Zr 91.22 Zr.upf
Si 28.09 Si.upf
CELL_PARAMETERS angstrom
7.3715 0.0000 0.0000
0.0000 7.3797 0.0000
-2.2693 0.0000 6.8202
ATOMIC_POSITIONS crystal
Ce 0.1894 0.1693 0.0726
Ce 0.1894 0.3307 0.5726
Ce 0.8106 0.6693 0.4274
Ce 0.8106 0.8307 0.9274
Zr 0.2515 0.6769 0.2497
Zr 0.2515 0.8231 0.7497
Zr 0.5000 0.0000 0.5000
Zr 0.5000 0.5000 0.0000
Zr 0.7485 0.1769 0.2503
Zr 0.7485 0.3231 0.7503
Si 0.0837 0.5334 0.8725
Si 0.0837 0.9666 0.3725
Si 0.4925 0.1236 0.8724
Si 0.4925 0.3764 0.3724
Si 0.5075 0.6236 0.6276
Si 0.5075 0.8764 0.1276
Si 0.9163 0.0334 0.6275
Si 0.9163 0.4666 0.1275
```

uncorrected formation energy	-0.83	eV per atom

=====

(8)
Computed, not measured: a relaxed RbVCd2Si crystal at the PBE-GGA level of DFT. Values from VASP.

Geometry as Quantum ESPRESSO input:
```
&SYSTEM
  ibrav = 0, nat = 5, ntyp = 4
/
ATOMIC_SPECIES
Rb 85.47 Rb.upf
V 50.94 V.upf
Cd 112.41 Cd.upf
Si 28.09 Si.upf
CELL_PARAMETERS angstrom
5.4094 0.0000 0.0000
0.0000 5.4094 0.0000
0.0000 0.0000 6.0698
ATOMIC_POSITIONS crystal
Rb 0.0000 0.0000 0.0000
V 0.0000 0.0000 0.5000
Cd 0.0000 0.5000 0.5000
Cd 0.5000 0.0000 0.5000
Si 0.5000 0.5000 0.0000
```

uncorrected formation energy	1.20	eV per atom